VASP calculation (PBE) on a relaxed structure of BiRh.

The structure in POSCAR format:
```
BiRh
1.0
8.2417 0.0000 0.0000
0.0000 8.2417 0.0000
0.0000 0.0000 3.2377
Bi Rh
4 4
Direct
0.1953 0.1953 0.0000 Bi
0.3047 0.6953 0.5000 Bi
0.6953 0.3047 0.5000 Bi
0.8047 0.8047 0.0000 Bi
0.1235 0.8765 0.0000 Rh
0.3765 0.3765 0.5000 Rh
0.6235 0.6235 0.5000 Rh
0.8765 0.1235 0.0000 Rh
```

Summary:
Symmetry: P4_2/mnm (136)
Total magnetic moment: 0.00 μB/cell
Energy of formation: 198 meV/atom

---

VASP calculation (PBE) on a relaxed structure of CdPbBr2.

The structure in POSCAR format:
```
CdPbBr2
1.0
-4.5480 4.5480 3.5255
4.5480 -4.5480 3.5255
4.5480 4.5480 -3.5255
Cd Pb Br
2 2 4
Direct
0.0000 0.0000 0.0000 Cd
0.7500 0.2500 0.5000 Cd
0.2500 0.7500 0.5000 Pb
0.5000 0.5000 0.0000 Pb
0.1843 0.1250 0.5593 Br
0.3750 0.8157 0.9407 Br
0.5657 0.6250 0.4407 Br
0.8750 0.4343 0.0593 Br
```

Summary:
Symmetry: I-42d (122)
Formation energy without anion corrections: -437 meV/atom
Total magnetic moment: 0.00 μB/cell
Energy above the most stable polymorph in this dataset: 0.100 eV per atom